An optimized crystal structure of NdMoO5. Source: Alexandria, functional PBEsol.

Cell lengths 5.378, 6.563, 12.762 Å; angles 90.00, 90.00, 108.47 degrees
Element x y z (fractional)
Nd: 0.623 0.281 0.066
Nd: 0.377 0.719 0.934
Nd: 0.877 0.219 0.566
Nd: 0.123 0.781 0.434
Mo: 0.443 0.345 0.369
Mo: 0.557 0.655 0.631
Mo: 0.057 0.155 0.869
Mo: 0.943 0.845 0.131
O: 0.557 0.019 0.446
O: 0.443 0.981 0.554
O: 0.943 0.481 0.946
O: 0.057 0.519 0.054
O: 0.354 0.339 0.925
O: 0.646 0.661 0.075
O: 0.146 0.161 0.425
O: 0.854 0.839 0.575
O: 0.746 0.454 0.444
O: 0.254 0.546 0.556
O: 0.754 0.046 0.944
O: 0.246 0.954 0.056
O: 0.500 0.250 0.247
O: 0.500 0.750 0.753
O: 0.000 0.250 0.747
O: 0.000 0.750 0.253
O: 0.642 0.427 0.658
O: 0.358 0.573 0.342
O: 0.858 0.073 0.158
O: 0.142 0.927 0.842

Summary:
- E (eV/atom) = -8.59
- raw formation energy (eV per atom) = -2.42
- total magnetic moment (μB/cell) = 0.0